Model a:
{"formula": "BeH3O", "functional": "GGA-PBE", "state": "relaxed", "magnetic_moment_mub_per_cell": 0.000, "spacegroup": "No. 221", "cell": [[3.164, 0.000, 0.000], [0.000, 3.164, 0.000], [0.000, 0.000, 3.164]], "species": ["Be", "H", "H", "H", "O"], "frac_coords": [[0.000, 0.000, 0.000], [0.000, 0.500, 0.500], [0.500, 0.000, 0.500], [0.500, 0.500, 0.000], [0.500, 0.500, 0.500]]}



Model b:
{"formula": "BeH3O", "functional": "GGA-PBE", "state": "relaxed", "magnetic_moment_mub_per_cell": 0.859, "spacegroup": "No. 221", "cell": [[3.083, 0.000, 0.000], [0.000, 3.083, 0.000], [0.000, 0.000, 3.083]], "species": ["Be", "H", "H", "H", "O"], "frac_coords": [[0.000, 0.000, 0.000], [0.000, 0.000, 0.500], [0.000, 0.500, 0.000], [0.500, 0.000, 0.000], [0.500, 0.500, 0.500]]}



Q: Which of them is the most stable? A: model b.



Model a:
{"formula": "BeH2O", "functional": "GGA-PBE", "state": "relaxed", "magnetic_moment_mub_per_cell": 0.000, "spacegroup": "No. 225", "cell": [[4.430, 0.000, 0.000], [0.000, 4.430, 0.000], [0.000, 0.000, 4.430]], "species": ["Be", "Be", "Be", "Be", "H", "H", "H", "H", "H", "H", "H", "H", "O", "O", "O", "O"], "frac_coords": [[0.000, 0.000, 0.000], [0.000, 0.500, 0.500], [0.500, 0.000, 0.500], [0.500, 0.500, 0.000], [0.250, 0.250, 0.250], [0.250, 0.250, 0.750], [0.250, 0.750, 0.250], [0.250, 0.750, 0.750], [0.750, 0.250, 0.250], [0.750, 0.250, 0.750], [0.750, 0.750, 0.250], [0.750, 0.750, 0.750], [0.000, 0.000, 0.500], [0.000, 0.500, 0.000], [0.500, 0.000, 0.000], [0.500, 0.500, 0.500]]}



Model b:
{"formula": "BeH2O", "functional": "GGA-PBE", "state": "relaxed", "magnetic_moment_mub_per_cell": 0.000, "spacegroup": "No. 141", "cell": [[2.327, 0.000, 0.000], [0.000, 2.327, 0.000], [0.000, 0.000, 25.384]], "species": ["Be", "Be", "Be", "Be", "H", "H", "H", "H", "H", "H", "H", "H", "O", "O", "O", "O"], "frac_coords": [[0.000, 0.250, 0.375], [0.000, 0.750, 0.625], [0.500, 0.250, 0.125], [0.500, 0.750, 0.875], [0.000, 0.000, 0.500], [0.000, 0.500, 0.500], [0.250, 0.250, 0.250], [0.250, 0.750, 0.750], [0.500, 0.000, 0.000], [0.500, 0.500, 0.000], [0.750, 0.250, 0.250], [0.750, 0.750, 0.750], [0.000, 0.250, 0.875], [0.000, 0.750, 0.125], [0.500, 0.250, 0.625], [0.500, 0.750, 0.375]]}



Q: Which of them is the most stable? A: model b.



Model a:
{"formula": "BePHO2", "functional": "GGA-PBE", "state": "relaxed", "magnetic_moment_mub_per_cell": 0.000, "spacegroup": "No. 123", "cell": [[3.890, 0.000, 0.000], [0.000, 3.890, 0.000], [0.000, 0.000, 2.816]], "species": ["Be", "P", "H", "O", "O"], "frac_coords": [[0.000, 0.000, 0.000], [0.500, 0.500, 0.000], [0.500, 0.500, 0.500], [0.000, 0.500, 0.500], [0.500, 0.000, 0.500]]}



Model b:
{"formula": "BePHO2", "functional": "GGA-PBE", "state": "relaxed", "magnetic_moment_mub_per_cell": 0.661, "spacegroup": "No. 123", "cell": [[3.127, 0.000, 0.000], [0.000, 3.127, 0.000], [0.000, 0.000, 5.419]], "species": ["Be", "P", "H", "O", "O"], "frac_coords": [[0.000, 0.000, 0.000], [0.000, 0.000, 0.500], [0.500, 0.500, 0.500], [0.000, 0.500, 0.000], [0.500, 0.000, 0.000]]}



Q: Which of them is the most stable? A: model b.



Model a:
{"formula": "BeH3Os", "functional": "GGA-PBE", "state": "relaxed", "magnetic_moment_mub_per_cell": 0.000, "spacegroup": "No. 221", "cell": [[3.111, 0.000, 0.000], [0.000, 3.111, 0.000], [0.000, 0.000, 3.111]], "species": ["Be", "H", "H", "H", "Os"], "frac_coords": [[0.000, 0.000, 0.000], [0.000, 0.000, 0.500], [0.000, 0.500, 0.000], [0.500, 0.000, 0.000], [0.500, 0.500, 0.500]]}



Model b:
{"formula": "BeH3Os", "functional": "GGA-PBE", "state": "relaxed", "magnetic_moment_mub_per_cell": 0.000, "spacegroup": "No. 221", "cell": [[3.371, 0.000, 0.000], [0.000, 3.371, 0.000], [0.000, 0.000, 3.371]], "species": ["Be", "H", "H", "H", "Os"], "frac_coords": [[0.000, 0.000, 0.000], [0.000, 0.500, 0.500], [0.500, 0.000, 0.500], [0.500, 0.500, 0.000], [0.500, 0.500, 0.500]]}



Q: Which of them is the most stable? A: model b.



Model a:
{"formula": "Be3HOs", "functional": "GGA-PBE", "state": "relaxed", "magnetic_moment_mub_per_cell": 0.414, "spacegroup": "No. 221", "cell": [[4.251, 0.000, 0.000], [0.000, 4.251, 0.000], [0.000, 0.000, 4.251]], "species": ["Be", "Be", "Be", "H", "Os"], "frac_coords": [[0.000, 0.000, 0.500], [0.000, 0.500, 0.000], [0.500, 0.000, 0.000], [0.500, 0.500, 0.500], [0.000, 0.000, 0.000]]}



Model b:
{"formula": "Be3HOs", "functional": "GGA-PBE", "state": "relaxed", "magnetic_moment_mub_per_cell": 0.553, "spacegroup": "No. 221", "cell": [[3.433, 0.000, 0.000], [0.000, 3.433, 0.000], [0.000, 0.000, 3.433]], "species": ["Be", "Be", "Be", "H", "Os"], "frac_coords": [[0.000, 0.000, 0.500], [0.000, 0.500, 0.000], [0.500, 0.000, 0.000], [0.000, 0.000, 0.000], [0.500, 0.500, 0.500]]}



Q: Which of them is the most stable? A: model b.



Model a:
{"formula": "BePH", "functional": "GGA-PBE", "state": "relaxed", "magnetic_moment_mub_per_cell": 0.000, "spacegroup": "No. 62", "cell": [[5.986, 0.000, 0.000], [0.000, 3.148, 0.000], [0.000, 0.000, 6.581]], "species": ["Be", "Be", "Be", "Be", "P", "P", "P", "P", "H", "H", "H", "H"], "frac_coords": [[0.112, 0.250, 0.188], [0.388, 0.750, 0.688], [0.612, 0.250, 0.312], [0.888, 0.750, 0.812], [0.204, 0.250, 0.871], [0.296, 0.750, 0.371], [0.704, 0.250, 0.629], [0.796, 0.750, 0.129], [0.158, 0.250, 0.419], [0.342, 0.750, 0.919], [0.658, 0.250, 0.081], [0.842, 0.750, 0.581]]}



Model b:
{"formula": "BePH", "functional": "GGA-PBE", "state": "relaxed", "magnetic_moment_mub_per_cell": 0.000, "spacegroup": "No. 62", "cell": [[6.024, 0.000, 0.000], [0.000, 3.756, 0.000], [0.000, 0.000, 6.029]], "species": ["Be", "Be", "Be", "Be", "P", "P", "P", "P", "H", "H", "H", "H"], "frac_coords": [[0.120, 0.250, 0.033], [0.380, 0.750, 0.533], [0.620, 0.250, 0.467], [0.880, 0.750, 0.967], [0.234, 0.750, 0.866], [0.266, 0.250, 0.366], [0.734, 0.750, 0.634], [0.766, 0.250, 0.134], [0.098, 0.250, 0.530], [0.402, 0.750, 0.030], [0.598, 0.250, 0.970], [0.902, 0.750, 0.470]]}



Model c:
{"formula": "BePH", "functional": "GGA-PBE", "state": "relaxed", "magnetic_moment_mub_per_cell": 0.000, "spacegroup": "No. 31", "cell": [[3.715, 0.000, 0.000], [0.000, 5.877, 0.000], [0.000, 0.000, 4.428]], "species": ["Be", "Be", "P", "P", "H", "H"], "frac_coords": [[0.000, 0.088, 0.000], [0.500, 0.912, 0.500], [0.000, 0.816, 0.669], [0.500, 0.184, 0.169], [0.000, 0.623, 0.863], [0.500, 0.377, 0.363]]}



Q: Which of them is the most stable? A: model b.



Model a:
{"formula": "BeP3H", "functional": "GGA-PBE", "state": "relaxed", "magnetic_moment_mub_per_cell": 0.000, "spacegroup": "No. 1", "cell": [[2.939, 0.000, 0.000], [0.001, 6.413, 0.000], [0.024, 0.019, 9.378]], "species": ["Be", "Be", "P", "P", "P", "P", "P", "P", "H", "H"], "frac_coords": [[0.000, 0.000, 0.000], [0.003, 0.500, 0.698], [0.002, 0.715, 0.879], [0.003, 0.287, 0.880], [0.008, 0.178, 0.417], [0.008, 0.834, 0.415], [0.502, 0.501, 0.001], [0.506, 0.004, 0.562], [0.500, 0.000, 0.070], [0.504, 0.502, 0.632]]}



Model b:
{"formula": "BeP3H", "functional": "GGA-PBE", "state": "relaxed", "magnetic_moment_mub_per_cell": 0.000, "spacegroup": "No. 221", "cell": [[4.172, 0.000, 0.000], [0.000, 4.172, 0.000], [0.000, 0.000, 4.172]], "species": ["Be", "P", "P", "P", "H"], "frac_coords": [[0.000, 0.000, 0.000], [0.000, 0.000, 0.500], [0.000, 0.500, 0.000], [0.500, 0.000, 0.000], [0.500, 0.500, 0.500]]}



Q: Which of them is the most stable? A: model a.



Model a:
{"formula": "Be3PH", "functional": "GGA-PBE", "state": "relaxed", "magnetic_moment_mub_per_cell": 0.000, "spacegroup": "No. 221", "cell": [[3.441, 0.000, 0.000], [0.000, 3.441, 0.000], [0.000, 0.000, 3.441]], "species": ["Be", "Be", "Be", "P", "H"], "frac_coords": [[0.000, 0.000, 0.500], [0.000, 0.500, 0.000], [0.500, 0.000, 0.000], [0.500, 0.500, 0.500], [0.000, 0.000, 0.000]]}



Model b:
{"formula": "Be3PH", "functional": "GGA-PBE", "state": "relaxed", "magnetic_moment_mub_per_cell": 0.000, "spacegroup": "No. 221", "cell": [[4.035, 0.000, 0.000], [0.000, 4.035, 0.000], [0.000, 0.000, 4.035]], "species": ["Be", "Be", "Be", "P", "H"], "frac_coords": [[0.000, 0.000, 0.500], [0.000, 0.500, 0.000], [0.500, 0.000, 0.000], [0.000, 0.000, 0.000], [0.500, 0.500, 0.500]]}



Q: Which of them is the most stable? A: model a.